No. 1
The following is a DFT calculation (GGA-PBE) of crystalline IrAu at its relaxed geometry.

Computed properties:
Formation enthalpy at 0 K   449 meV/atom
ΔE to the lowest computed polymorph   25.3 kJ per mole of atoms
DOS(E_F)   4.08 states/eV/cell

Cell: 2.7478 5.5958 4.4890 Å, 90.00 90.00 75.79°
Atoms (fractional coordinates):
Au 0.8127 0.3746 0.2500
Au 0.1873 0.6254 0.7500
Ir 0.5508 0.8984 0.2500
Ir 0.4492 0.1016 0.7500



No. 2
The following is a DFT calculation (GGA-PBE) of crystalline Pr2ErTm4Th at its relaxed geometry.

Computed properties:
Formation enthalpy at 0 K   37 meV/atom
DOS(E_F)   11.62 states/eV/cell

Cell: 5.0807 5.0731 11.1224 Å, 62.87 90.00 90.00°
Atoms (fractional coordinates):
Pr 0.0000 0.0000 0.0000
Pr 0.5000 0.0000 0.5000
Er 0.5000 0.5000 0.0000
Tm 0.0000 0.7526 0.7474
Tm 0.0000 0.2474 0.2526
Tm 0.5000 0.7471 0.2527
Tm 0.5000 0.2529 0.7473
Th 0.0000 0.5000 0.5000



No. 3
The following is a DFT calculation (GGA-PBE) of crystalline HoErInAg at its relaxed geometry.

Computed properties:
Formation enthalpy at 0 K   -398 meV/atom
DOS(E_F)   2.88 states/eV/cell

Cell: 5.2171 5.2171 5.2171 Å, 60.00 60.00 60.00°
Atoms (fractional coordinates):
In 0.7500 0.7500 0.7500
Ho 0.0000 0.0000 0.0000
Ag 0.2500 0.2500 0.2500
Er 0.5000 0.5000 0.5000



No. 4
The following is a DFT calculation (GGA-PBE) of crystalline AlSnP2S at its relaxed geometry.

Computed properties:
ΔE to the lowest computed polymorph   0.0 kJ per mole of atoms
DOS(E_F)   3.96 states/eV/cell

Cell: 4.6919 4.6919 4.7255 Å, 90.00 90.00 90.00°
Atoms (fractional coordinates):
P 0.0000 0.5000 0.0000
P 0.5000 0.0000 0.0000
S 0.0000 0.0000 0.5000
Sn 0.5000 0.5000 0.5000
Al 0.0000 0.0000 0.0000



No. 5
The following is a DFT calculation (GGA-PBE) of crystalline Nd5InAu2 at its relaxed geometry.

Computed properties:
Formation enthalpy at 0 K   -518 meV/atom
DOS(E_F)   20.11 states/eV/cell

Cell: 8.3710 8.3710 8.9691 Å, 117.82 117.82 90.00°
Atoms (fractional coordinates):
Nd 0.5114 0.6990 0.7104
Nd 0.8010 0.9886 0.2896
Nd 0.0000 0.0000 0.0000
Nd 0.5000 0.5000 0.0000
Nd 0.1990 0.0114 0.7104
Nd 0.6990 0.1990 0.7104
Nd 0.0114 0.5114 0.7104
Nd 0.3010 0.8010 0.2896
Nd 0.9886 0.4886 0.2896
Nd 0.4886 0.3010 0.2896
In 0.7500 0.7500 0.5000
In 0.2500 0.2500 0.5000
Au 0.1344 0.3656 0.0000
Au 0.6344 0.1344 0.0000
Au 0.3656 0.8656 0.0000
Au 0.8656 0.6344 0.0000



No. 6
The following is a DFT calculation (GGA-PBE) of crystalline Dy5PuN6 at its relaxed geometry.

Computed properties:
E   -8.898 eV per atom
DOS(E_F)   6.42 states/eV/cell

Cell: 6.0074 6.0045 6.0038 Å, 60.00 80.41 70.55°
Last column: magnetic moment on the atom in μB.
Atoms (fractional coordinates):
N 0.7535 0.0821 0.3254  -0.07
N 0.2465 0.5925 0.3254  -0.07
N 0.2450 0.2439 0.0000  -0.06
N 0.7550 0.7561 0.0000  -0.06
N 0.7535 0.4075 0.6746  -0.07
N 0.2465 0.9179 0.6746  -0.07
Pu 0.0000 0.0000 0.0000  4.36
Dy 0.5000 0.1671 0.6658  0.06
Dy 0.0000 0.3336 0.3328  0.07
Dy 0.5000 0.5000 0.0000  0.06
Dy 0.0000 0.6664 0.6672  0.07
Dy 0.5000 0.8329 0.3342  0.06



No. 7
The following is a DFT calculation (GGA-PBE) of crystalline Cd2In2Ag at its relaxed geometry.

Computed properties:
Formation enthalpy at 0 K   189 meV/atom
ΔE to the lowest computed polymorph   9.0 kJ per mole of atoms
DOS(E_F)   2.49 states/eV/cell

Cell: 4.1102 4.1102 8.1617 Å, 75.42 75.42 90.00°
Atoms (fractional coordinates):
Cd 0.7500 0.2500 0.5000
Cd 0.2500 0.7500 0.5000
Ag 0.0000 0.0000 0.0000
In 0.4052 0.4052 0.1895
In 0.5948 0.5948 0.8105



No. 8
The following is a DFT calculation (GGA-PBE) of crystalline La2Pm5Dy5 at its relaxed geometry.

Computed properties:
Formation enthalpy at 0 K   22 meV/atom
DOS(E_F)   18.86 states/eV/cell

Cell: 5.1133 8.1249 10.8656 Å, 72.70 76.39 71.66°
Atoms (fractional coordinates):
La 0.9174 0.4148 0.7505
La 0.0826 0.5852 0.2495
Pm 0.8334 0.8335 0.4998
Pm 0.2475 0.7526 0.7524
Pm 0.7525 0.2474 0.2476
Pm 0.1666 0.1665 0.5002
Pm 0.0000 0.0000 0.0000
Dy 0.5000 0.5000 0.5000
Dy 0.3334 0.3323 0.0008
Dy 0.4158 0.9189 0.2495
Dy 0.5842 0.0811 0.7505
Dy 0.6666 0.6677 0.9992



- DOS(E_F) of number 5 (Nd5InAu2)?
  20.11 states/eV/cell